--- P ---
Compound: TcMoRu
Source: the Alexandria database
Functional: PBE-GGA
Structure: optimized geometry

The structure in POSCAR format:
```
TcMoRu
1.0
-1.423 0.713 -4.492
-2.491 -1.056 0.617
-3.192 5.476 2.715
Ru Mo Tc
2 2 2
Cartesian
-3.444 2.781 -1.858
-1.269 1.214 -1.993
-4.019 1.991 0.690
-1.763 0.234 0.567
-3.241 4.379 1.678
-5.199 4.208 -0.260
```

Volume   14.79 A^3/atom
Space group   P-1
D(E_F)   6.168 states/eV per cell

---

--- Q ---
Compound: TcMoRu
Source: the Alexandria database
Functional: PBE-GGA
Structure: optimized geometry

The structure in POSCAR format:
```
TcMoRu
1.0
-0.899 -4.254 0.364
4.134 1.326 -0.432
0.223 0.184 2.703
Ru Tc Mo
1 1 1
Cartesian
2.531 -0.472 0.735
0.964 -2.240 2.351
0.186 0.153 2.252
```

Volume   14.93 A^3/atom
Space group   P-6m2
D(E_F)   2.391 states/eV per cell

---

--- R ---
Compound: TcMoRu
Source: the Alexandria database
Functional: PBE-GGA
Structure: optimized geometry

The structure in POSCAR format:
```
TcMoRu
1.0
-0.166 -2.085 3.637
2.821 -2.992 0.834
2.940 0.645 2.924
Tc Ru Mo
1 1 1
Cartesian
0.000 0.000 0.000
4.196 -3.324 5.546
2.798 -2.216 3.697
```

Volume   17.41 A^3/atom
Space group   F-43m
D(E_F)   3.355 states/eV per cell

---

--- S ---
Compound: TcMoRu
Source: the Alexandria database
Functional: PBE-GGA
Structure: optimized geometry

The structure in POSCAR format:
```
TcMoRu
1.0
4.803 -0.004 0.008
2.439 4.137 -0.008
-3.218 -2.772 2.242
Mo Tc Ru
1 1 1
Cartesian
7.233 4.129 0.000
4.859 2.774 0.000
2.391 1.365 0.000
```

Volume   14.83 A^3/atom
Space group   Imm2
D(E_F)   3.148 states/eV per cell

---

In order of decreasing stability: P, S, Q, R.

---

--- P ---
Compound: TcMoRu
Source: the Alexandria database
Functional: PBE-GGA
Structure: optimized geometry

The structure in POSCAR format:
```
TcMoRu
1.0
6.259 -0.004 0.004
5.662 2.667 0.008
0.597 0.129 2.668
Tc Ru Mo
1 1 1
Cartesian
8.255 1.843 0.872
4.301 0.958 1.800
11.883 2.655 0.022
```

Volume   14.86 A^3/atom
Space group   I4mm
D(E_F)   1.641 states/eV per cell

---

--- Q ---
Compound: TcMoRu
Source: the Alexandria database
Functional: PBE-GGA
Structure: optimized geometry

The structure in POSCAR format:
```
TcMoRu
1.0
2.752 0.000 0.000
-1.376 2.383 0.000
0.000 0.000 6.795
Tc Ru Mo
1 1 1
Cartesian
0.000 1.589 4.469
1.376 0.794 2.292
0.000 0.000 0.034
```

Volume   14.86 A^3/atom
Space group   P3m1
D(E_F)   4.249 states/eV per cell

---

In order of decreasing stability: P, Q.

---

--- P ---
Compound: Tc3MoRu
Source: the Alexandria database
Functional: PBE-GGA
Structure: optimized geometry

The structure in POSCAR format:
```
Tc3MoRu
1.0
-4.402 -0.267 -1.212
-0.078 -4.398 1.252
-1.238 1.226 4.228
Tc Mo Ru
3 1 1
Cartesian
-0.619 0.613 2.114
-0.039 -2.199 0.626
-2.201 -0.134 -0.606
0.000 0.000 0.000
-2.859 -1.719 2.135
```

Volume   19.13 A^3/atom
Space group   Pm-3m
D(E_F)   7.073 states/eV per cell

---

--- Q ---
Compound: Tc3MoRu
Source: the Alexandria database
Functional: PBE-GGA
Structure: optimized geometry

The structure in POSCAR format:
```
Tc3MoRu
1.0
-3.064 0.161 3.376
-1.489 -4.155 -1.153
3.035 -1.877 2.843
Tc Ru Mo
3 1 1
Cartesian
1.517 -0.938 1.422
-0.745 -2.078 -0.576
-1.532 0.081 1.688
0.000 0.000 0.000
-0.759 -2.935 2.533
```

Volume   18.99 A^3/atom
Space group   Pm-3m
D(E_F)   8.252 states/eV per cell

---

In order of decreasing stability: Q, P.

---

--- P ---
Compound: TiMo2Ru2
Source: the Alexandria database
Functional: PBE-GGA
Structure: optimized geometry

The structure in POSCAR format:
```
TiMo2Ru2
1.0
7.405 0.000 0.000
0.000 7.405 0.000
0.000 0.000 2.895
Mo Ti Ru
4 2 4
Cartesian
1.247 4.950 1.448
4.950 6.158 1.448
2.456 1.247 1.448
6.158 2.456 1.448
0.000 0.000 0.000
3.703 3.703 0.000
2.730 6.433 0.000
6.433 4.675 0.000
0.972 2.730 0.000
4.675 0.972 0.000
```

Volume   15.88 A^3/atom
Space group   P4/mbm
D(E_F)   13.465 states/eV per cell

---

--- Q ---
Compound: TiMo2Ru2
Source: the Alexandria database
Functional: PBE-GGA
Structure: optimized geometry

The structure in POSCAR format:
```
TiMo2Ru2
1.0
4.002 0.000 0.000
0.000 4.002 0.000
2.001 2.001 5.458
Mo Ru Ti
2 2 1
Cartesian
4.002 2.001 2.729
2.001 4.002 2.729
4.002 4.002 4.285
2.001 2.001 1.173
0.000 0.000 0.000
```

Volume   17.48 A^3/atom
Space group   I4/mmm
D(E_F)   6.072 states/eV per cell

---

In order of decreasing stability: P, Q.

---

--- P ---
Compound: TiMo2Ru
Source: the Alexandria database
Functional: PBE-GGA
Structure: optimized geometry

The structure in POSCAR format:
```
TiMo2Ru
1.0
7.242 0.000 0.000
0.000 7.242 0.000
3.621 3.621 2.551
Mo Ti Ru
4 2 2
Cartesian
1.653 5.432 0.638
5.432 5.274 1.913
5.589 1.811 0.638
9.053 9.210 1.913
3.621 3.621 0.000
3.621 7.242 1.275
0.000 0.000 0.000
7.242 3.621 1.275
```

Volume   16.72 A^3/atom
Space group   I-42d
D(E_F)   8.878 states/eV per cell

---

--- Q ---
Compound: TiMo2Ru
Source: the Alexandria database
Functional: PBE-GGA
Structure: optimized geometry

The structure in POSCAR format:
```
TiMo2Ru
1.0
0.000 3.126 3.126
3.126 0.000 3.126
3.126 3.126 0.000
Ru Mo Ti
1 2 1
Cartesian
3.126 3.126 3.126
1.563 1.563 1.563
4.689 4.689 4.689
0.000 0.000 0.000
```

Volume   15.27 A^3/atom
Space group   Fm-3m
D(E_F)   4.633 states/eV per cell

---

In order of decreasing stability: Q, P.

---

--- P ---
Compound: Tl3MoRu
Source: the Alexandria database
Functional: PBE-GGA
Structure: optimized geometry

The structure in POSCAR format:
```
Tl3MoRu
1.0
-4.361 -2.941 -0.163
2.374 -3.338 -3.303
1.742 -2.811 4.093
Tl Ru Mo
3 1 1
Cartesian
0.871 -1.405 2.047
1.187 -1.669 -1.651
-2.180 -1.470 -0.082
0.000 0.000 0.000
-0.122 -4.545 0.314
```

Volume   29.14 A^3/atom
Space group   Pm-3m
D(E_F)   1.762 states/eV per cell

---

--- Q ---
Compound: Tl3MoRu
Source: the Alexandria database
Functional: PBE-GGA
Structure: optimized geometry

The structure in POSCAR format:
```
Tl3MoRu
1.0
5.306 0.000 0.000
0.000 5.306 0.000
0.000 0.000 5.306
Ru Tl Mo
1 3 1
Cartesian
2.653 2.653 2.653
0.000 2.653 0.000
0.000 0.000 2.653
2.653 0.000 0.000
0.000 0.000 0.000
```

Volume   29.88 A^3/atom
Space group   Pm-3m
D(E_F)   3.113 states/eV per cell

---

In order of decreasing stability: P, Q.

---

--- P ---
Compound: UMoRu2
Source: the Alexandria database
Functional: PBE-GGA
Structure: optimized geometry

The structure in POSCAR format:
```
UMoRu2
1.0
3.900 0.000 0.000
0.000 4.113 0.000
0.000 0.000 4.113
Mo Ru U
1 2 1
Cartesian
1.950 0.000 0.000
0.000 0.000 2.057
0.000 2.057 0.000
1.950 2.057 2.057
```

Volume   16.49 A^3/atom
Space group   P4/mmm
D(E_F)   6.154 states/eV per cell

---

--- Q ---
Compound: UMoRu2
Source: the Alexandria database
Functional: PBE-GGA
Structure: optimized geometry

The structure in POSCAR format:
```
UMoRu2
1.0
-2.725 -0.726 0.323
-0.930 -0.940 2.511
-3.245 8.180 3.464
U Ru Mo
1 2 1
Cartesian
-3.450 3.257 3.149
-5.215 5.057 4.773
-1.685 1.457 1.525
0.000 0.000 0.000
```

Volume   16.24 A^3/atom
Space group   R-3m
D(E_F)   6.695 states/eV per cell

---

In order of decreasing stability: P, Q.

---

--- P ---
Compound: V4MoRu
Source: the Alexandria database
Functional: PBE-GGA
Structure: optimized geometry

The structure in POSCAR format:
```
V4MoRu
1.0
3.013 0.000 0.000
0.000 3.013 0.000
0.000 0.001 9.132
V Mo Ru
4 1 1
Cartesian
1.506 0.000 1.549
1.506 3.014 7.583
0.000 1.507 3.047
0.000 1.507 6.084
0.000 1.506 0.000
1.506 0.000 4.566
```

Volume   13.81 A^3/atom
Space group   P4/mmm
D(E_F)   3.532 states/eV per cell

---

--- Q ---
Compound: V4MoRu
Source: the Alexandria database
Functional: PBE-GGA
Structure: optimized geometry

The structure in POSCAR format:
```
V4MoRu
1.0
-3.032 -1.268 -3.581
-0.964 -5.657 2.819
-3.090 5.358 2.446
V Mo Ru
8 2 2
Cartesian
-0.779 -4.570 2.277
-3.726 3.108 0.353
-0.185 -1.087 0.541
-4.339 -0.489 2.146
-4.562 0.672 -0.210
-2.523 -2.239 1.894
-3.359 -4.675 1.330
-2.746 -1.078 -0.462
-3.909 1.927 2.531
-3.176 -3.494 -0.847
-1.874 0.870 1.106
-5.211 -2.437 0.578
```

Volume   14.74 A^3/atom
Space group   C2/m
D(E_F)   15.794 states/eV per cell

---

--- R ---
Compound: V4MoRu
Source: the Alexandria database
Functional: PBE-GGA
Structure: optimized geometry

The structure in POSCAR format:
```
V4MoRu
1.0
4.911 0.000 0.000
2.455 4.253 0.000
2.455 1.418 4.010
V Mo Ru
4 1 1
Cartesian
4.911 1.418 2.506
4.911 2.835 0.502
6.138 3.544 2.506
3.683 3.544 2.506
2.455 1.418 1.002
0.000 0.000 0.000
```

Volume   13.96 A^3/atom
Space group   F-43m
D(E_F)   10.321 states/eV per cell

---

In order of decreasing stability: P, R, Q.

---

--- P ---
Compound: V2MoRu2
Source: the Alexandria database
Functional: PBE-GGA
Structure: optimized geometry

The structure in POSCAR format:
```
V2MoRu2
1.0
-5.414 0.574 4.598
-0.794 -7.082 -0.051
1.815 -0.219 2.164
Ru Mo V
4 2 4
Cartesian
-3.291 -5.749 4.032
-0.427 -4.633 1.743
-3.967 -2.094 4.969
-1.103 -0.978 2.680
-3.104 -3.254 2.274
0.000 0.000 0.000
-1.093 -2.388 0.674
-2.567 -5.815 1.563
-5.116 -4.120 3.873
-3.642 -0.693 2.984
```

Volume   14.39 A^3/atom
Space group   P4/mbm
D(E_F)   6.810 states/eV per cell

---

--- Q ---
Compound: V2MoRu2
Source: the Alexandria database
Functional: PBE-GGA
Structure: optimized geometry

The structure in POSCAR format:
```
V2MoRu2
1.0
7.202 0.000 0.000
0.000 7.202 0.000
0.000 0.000 2.799
Ru V Mo
4 4 2
Cartesian
0.986 2.615 0.000
6.216 4.587 0.000
2.615 6.216 0.000
4.587 0.986 0.000
2.426 1.175 1.400
4.776 6.028 1.400
1.175 4.776 1.400
6.028 2.426 1.400
0.000 0.000 0.000
3.601 3.601 0.000
```

Volume   14.52 A^3/atom
Space group   P4/mbm
D(E_F)   11.553 states/eV per cell

---

In order of decreasing stability: P, Q.

---

--- P ---
Compound: V6MoRu
Source: the Alexandria database
Functional: PBE-GGA
Structure: optimized geometry

The structure in POSCAR format:
```
V6MoRu
1.0
4.309 0.000 0.000
0.000 7.746 -3.293
0.000 -2.688 4.435
V Ru Mo
6 1 1
Cartesian
0.000 0.883 2.077
0.000 6.129 -1.783
0.000 2.210 -0.117
2.155 -1.023 2.901
2.155 0.302 0.711
2.155 2.799 1.276
0.000 4.775 0.474
2.155 4.160 -0.972
```

Volume   13.74 A^3/atom
Space group   Amm2
D(E_F)   9.607 states/eV per cell

---

--- Q ---
Compound: V6MoRu
Source: the Alexandria database
Functional: PBE-GGA
Structure: optimized geometry

The structure in POSCAR format:
```
V6MoRu
1.0
5.233 -0.758 -0.857
-1.325 5.119 -0.857
-1.325 -1.478 4.975
V Mo Ru
6 1 1
Cartesian
3.250 0.343 0.387
-0.667 2.540 2.873
-0.015 -0.016 3.291
2.598 -0.385 2.873
2.598 2.899 -0.030
-0.015 3.268 0.387
0.000 0.000 0.000
1.292 1.441 1.630
```

Volume   14.16 A^3/atom
Space group   R-3m
D(E_F)   7.104 states/eV per cell

---

In order of decreasing stability: P, Q.

---

--- P ---
Compound: V6Mo2Ru
Source: the Alexandria database
Functional: PBE-GGA
Structure: optimized geometry

The structure in POSCAR format:
```
V6Mo2Ru
1.0
-3.100 -1.258 2.300
3.786 -1.331 4.375
-0.950 7.091 -1.048
V Ru Mo
6 1 2
Cartesian
-0.995 2.912 3.789
0.731 1.590 1.837
2.650 0.916 4.055
-0.606 -0.961 2.241
-2.914 3.587 1.571
1.292 -1.628 4.434
0.000 0.000 0.000
-0.404 3.874 1.528
0.140 0.628 4.098
```

Volume   16.77 A^3/atom
Space group   C2/m
D(E_F)   13.493 states/eV per cell

---

--- Q ---
Compound: V6Mo2Ru
Source: the Alexandria database
Functional: PBE-GGA
Structure: optimized geometry

The structure in POSCAR format:
```
V6Mo2Ru
1.0
-1.440 -2.260 -0.228
2.765 0.175 1.263
-9.246 3.223 16.106
Mo V Ru
2 6 1
Cartesian
-2.637 0.054 5.741
-6.665 1.078 10.753
-8.413 1.813 14.473
-4.382 0.787 9.465
-2.155 0.521 8.291
-6.190 1.546 13.313
-0.888 -0.683 2.021
-0.347 -0.240 4.444
1.355 -0.959 0.826
```

Volume   14.04 A^3/atom
Space group   C2/m
D(E_F)   8.734 states/eV per cell

---

In order of decreasing stability: Q, P.

---

--- P ---
Compound: V3Mo2Ru
Source: the Alexandria database
Functional: PBE-GGA
Structure: optimized geometry

The structure in POSCAR format:
```
V3Mo2Ru
1.0
-2.372 -1.062 1.597
-1.261 -1.050 -2.571
4.357 -8.020 1.138
Mo V Ru
2 3 1
Cartesian
1.805 -7.722 0.459
-1.081 -2.410 -0.295
0.000 0.000 0.000
1.453 -2.675 0.380
2.903 -5.345 0.758
0.362 -5.066 0.082
```

Volume   14.26 A^3/atom
Space group   P4/mmm
D(E_F)   3.987 states/eV per cell

---

--- Q ---
Compound: V3Mo2Ru
Source: the Alexandria database
Functional: PBE-GGA
Structure: optimized geometry

The structure in POSCAR format:
```
V3Mo2Ru
1.0
4.321 -0.002 0.017
2.158 6.475 0.009
-0.024 0.000 6.101
Mo V Ru
4 6 2
Cartesian
-0.012 0.000 3.050
4.307 4.306 3.067
2.147 2.167 3.059
0.000 0.000 0.000
4.314 2.161 1.545
2.143 -0.001 4.587
2.141 4.312 4.582
2.154 -0.001 1.530
2.152 4.312 1.536
4.302 2.161 4.590
2.159 2.172 0.009
4.319 4.302 0.017
```

Volume   14.22 A^3/atom
Space group   Cmmm
D(E_F)   7.618 states/eV per cell

---

In order of decreasing stability: Q, P.